Entry 1:
A plane-wave DFT calculation with GGA-PBE was carried out for a relaxed structure of ScTaV3.

Its space group is Pm-3m (221).

abc: 4.6448 4.6448 4.6448
angles: 90.00 90.00 90.00
Positions (direct):
Sc: 0.0000 0.0000 0.0000
Ta: 0.5000 0.5000 0.5000
V: 0.0000 0.5000 0.5000
V: 0.5000 0.0000 0.5000
V: 0.5000 0.5000 0.0000


Entry 2:
A plane-wave DFT calculation with GGA-PBE was carried out for a relaxed structure of HfNbC.

Its space group is P3m1 (156).

abc: 3.1982 3.1982 5.1487
angles: 90.00 90.00 120.00
Positions (direct):
Hf: 0.0000 0.0000 0.0000
Nb: 0.3333 0.6667 0.4975
C: 0.6667 0.3333 0.2588


Entry 3:
A plane-wave DFT calculation with GGA-PBE was carried out for a relaxed structure of CaPr6Sm12.

Its space group is R-3m (166).

abc: 8.9603 8.9603 8.9603
angles: 98.90 98.90 98.90
Positions (direct):
Ca: 0.0000 0.0000 0.0000
Pr: 0.0978 0.0978 0.6563
Pr: 0.0978 0.6563 0.0978
Pr: 0.3437 0.9022 0.9022
Pr: 0.6563 0.0978 0.0978
Pr: 0.9022 0.3437 0.9022
Pr: 0.9022 0.9022 0.3437
Sm: 0.0830 0.3580 0.3580
Sm: 0.2401 0.5000 0.7599
Sm: 0.2401 0.7599 0.5000
Sm: 0.3580 0.0830 0.3580
Sm: 0.3580 0.3580 0.0830
Sm: 0.5000 0.2401 0.7599
Sm: 0.5000 0.7599 0.2401
Sm: 0.6420 0.6420 0.9170
Sm: 0.6420 0.9170 0.6420
Sm: 0.7599 0.2401 0.5000
Sm: 0.7599 0.5000 0.2401
Sm: 0.9170 0.6420 0.6420


What did we get for energy of formation from the pure elements? Answer: 1115, -545, 188 meV/atom, in the order shown.
What did we get for volume? Answer: 20.04, 15.20, 36.33 A^3/atom, in the order shown.
What did we get for Fermi-level density of states? Answer: 8.11, 3.36, 29.39 states/eV/cell, in the order shown.